1.
The following is a DFT calculation (PBE with a Hubbard U) of La2NdCo2B2O3 after structural relaxation.

Geometry as CIF:
```
data_La2NdCo2B2O3
_chemical_formula_sum 'La2 Nd1 Co2 B2 O3'
_cell_length_a 10.3119
_cell_length_b 10.3119
_cell_length_c 10.3119
_cell_angle_alpha 159.72
_cell_angle_beta 159.72
_cell_angle_gamma 28.84
_space_group_name_H-M_alt 'P 1'
_space_group_IT_number 1
loop_
_space_group_symop_operation_xyz
'x,y,z'
loop_
_atom_site_label
_atom_site_type_symbol
_atom_site_fract_x
_atom_site_fract_y
_atom_site_fract_z
La1 La 0.1327 0.1327 0.0000
La2 La 0.8673 0.8673 0.0000
Nd1 Nd 0.5000 0.5000 0.0000
Co1 Co 0.2500 0.7500 0.5000
Co2 Co 0.7500 0.2500 0.5000
B1 B 0.2981 0.2981 0.0000
B2 B 0.7019 0.7019 0.0000
O1 O 0.0000 0.0000 0.0000
O2 O 0.3764 0.3764 0.0000
O3 O 0.6236 0.6236 0.0000
```

Properties
crystal system	tetragonal
calculated volume	131.7	Å³ per cell

2.
The following is a DFT calculation (PBE with a Hubbard U) of LaNd2Co2B2O3 after structural relaxation.

Geometry as CIF:
```
data_LaNd2Co2B2O3
_chemical_formula_sum 'La1 Nd2 Co2 B2 O3'
_cell_length_a 10.3553
_cell_length_b 10.3553
_cell_length_c 10.3553
_cell_angle_alpha 159.98
_cell_angle_beta 159.98
_cell_angle_gamma 28.46
_space_group_name_H-M_alt 'P 1'
_space_group_IT_number 1
loop_
_space_group_symop_operation_xyz
'x,y,z'
loop_
_atom_site_label
_atom_site_type_symbol
_atom_site_fract_x
_atom_site_fract_y
_atom_site_fract_z
La1 La 0.0000 0.0000 0.0000
Nd1 Nd 0.3643 0.3643 0.0000
Nd2 Nd 0.6357 0.6357 0.0000
Co1 Co 0.2500 0.7500 0.5000
Co2 Co 0.7500 0.2500 0.5000
B1 B 0.2009 0.2009 0.0000
B2 B 0.7991 0.7991 0.0000
O1 O 0.1219 0.1219 0.0000
O2 O 0.5000 0.5000 0.0000
O3 O 0.8781 0.8781 0.0000
```

Properties
crystal system	tetragonal
calculated volume	130.1	Å³ per cell

3.
The following is a DFT calculation (PBE with a Hubbard U) of La3Co2B2O3 after structural relaxation.

Geometry as CIF:
```
data_La3Co2B2O3
_chemical_formula_sum 'La3 Co2 B2 O3'
_cell_length_a 10.3327
_cell_length_b 10.3327
_cell_length_c 10.3327
_cell_angle_alpha 159.64
_cell_angle_beta 159.64
_cell_angle_gamma 28.94
_space_group_name_H-M_alt 'P 1'
_space_group_IT_number 1
loop_
_space_group_symop_operation_xyz
'x,y,z'
loop_
_atom_site_label
_atom_site_type_symbol
_atom_site_fract_x
_atom_site_fract_y
_atom_site_fract_z
La1 La 0.0000 0.0000 0.0000
La2 La 0.3669 0.3669 0.0000
La3 La 0.6331 0.6331 0.0000
Co1 Co 0.2500 0.7500 0.5000
Co2 Co 0.7500 0.2500 0.5000
B1 B 0.2027 0.2027 0.0000
B2 B 0.7973 0.7973 0.0000
O1 O 0.1257 0.1257 0.0000
O2 O 0.5000 0.5000 0.0000
O3 O 0.8743 0.8743 0.0000
```

Properties
crystal system	tetragonal
calculated volume	133.4	Å³ per cell

4.
The following is a DFT calculation (PBE with a Hubbard U) of La2PrCo2B2O3 after structural relaxation.

Geometry as CIF:
```
data_La2PrCo2B2O3
_chemical_formula_sum 'La2 Pr1 Co2 B2 O3'
_cell_length_a 10.3268
_cell_length_b 10.3268
_cell_length_c 10.3268
_cell_angle_alpha 159.69
_cell_angle_beta 159.69
_cell_angle_gamma 28.87
_space_group_name_H-M_alt 'P 1'
_space_group_IT_number 1
loop_
_space_group_symop_operation_xyz
'x,y,z'
loop_
_atom_site_label
_atom_site_type_symbol
_atom_site_fract_x
_atom_site_fract_y
_atom_site_fract_z
La1 La 0.1330 0.1330 0.0000
La2 La 0.8670 0.8670 0.0000
Pr1 Pr 0.5000 0.5000 0.0000
Co1 Co 0.2500 0.7500 0.5000
Co2 Co 0.7500 0.2500 0.5000
B1 B 0.2978 0.2978 0.0000
B2 B 0.7022 0.7022 0.0000
O1 O 0.0000 0.0000 0.0000
O2 O 0.3752 0.3752 0.0000
O3 O 0.6248 0.6248 0.0000
```

Properties
crystal system	tetragonal
calculated volume	132.6	Å³ per cell

no.,calculated total energy (eV/cell)
1,-68.546
2,-68.500
3,-69.031
4,-68.535